# 1
Below is a PBEsol-optimized structure of Ni2TePb, with properties calculated at the SCAN level.

a b c (Å): 3.907 3.907 6.469
angles (deg): 72.42 72.42 60.00
Atoms (fractional coordinates):
Te1 0.292 0.292 0.123
Pb1 0.471 0.471 0.588
Ni1 0.017 0.017 0.949
Ni2 0.720 0.720 0.839

Crystal system: trigonal
Uncorrected formation energy in eV/atom: 0.002
SG: R3m, No. 160
Electronic total energy in Ry per atom: -2.671
E above lowest polymorph in eV per atom: 0.000

# 2
Below is a PBEsol-optimized structure of Sc2AlCl, with properties calculated at the SCAN level.

a b c (Å): 3.147 3.147 9.012
angles (deg): 90.00 90.00 90.00
Atoms (fractional coordinates):
Sc1 0.500 0.500 0.251
Al1 0.000 0.000 0.450
Cl1 0.500 0.500 0.817
Sc2 0.000 0.000 0.982

Crystal system: tetragonal
Uncorrected formation energy in eV/atom: -0.616
SG: P4mm, No. 99
Electronic total energy in Ry per atom: -0.858
E above lowest polymorph in eV per atom: 0.284

# 3
Below is a PBEsol-optimized structure of LiTl2Cd, with properties calculated at the SCAN level.

a b c (Å): 3.746 3.932 6.349
angles (deg): 90.00 90.00 90.00
Atoms (fractional coordinates):
Tl1 0.000 0.000 0.983
Li1 0.500 0.500 0.743
Cd1 0.000 0.000 0.512
Tl2 0.500 0.500 0.263

Crystal system: orthorhombic
SG: Pmm2, No. 25
Electronic total energy in Ry per atom: -3.269
Energy relative to the elements in kJ/mol of atoms: -9

# 4
Below is a PBEsol-optimized structure of KScZn2, with properties calculated at the SCAN level.

a b c (Å): 3.211 5.215 5.215
angles (deg): 90.00 90.00 90.00
Atoms (fractional coordinates):
Zn1 0.000 0.000 0.500
Sc1 0.500 0.000 0.000
K1 0.500 0.500 0.500
Zn2 0.000 0.500 0.000

Crystal system: tetragonal
SG: P4/mmm, No. 123
Electronic total energy in Ry per atom: -0.903
Energy relative to the elements in kJ/mol of atoms: 11

# 5
Below is a PBEsol-optimized structure of FeIrRu2, with properties calculated at the SCAN level.

a b c (Å): 2.646 2.646 7.339
angles (deg): 90.00 90.00 90.00
Each line ends with the local moment (μB).
Atoms (fractional coordinates):
Ir1 0.500 0.500 0.740  0.07
Ru1 0.500 0.500 0.260  -0.13
Ru2 0.000 0.000 0.003  -0.09
Fe1 0.000 0.000 0.498  2.76

Crystal system: tetragonal
SG: P4mm, No. 99
Electronic total energy in Ry per atom: -2.917
Energy relative to the elements in kJ/mol of atoms: 3

# 6
Below is a PBEsol-optimized structure of KSc2ZnN, with properties calculated at the SCAN level.

a b c (Å): 4.675 4.871 4.871
angles (deg): 90.00 90.00 90.00
Each line ends with the local moment (μB).
Atoms (fractional coordinates):
N1 0.500 0.500 0.500  1.09
K1 0.000 0.000 0.000  0.09
Sc1 0.000 0.000 0.500  0.25
Sc2 0.000 0.500 0.000  0.25
Zn1 0.500 0.000 0.000  0.03

Crystal system: tetragonal
Uncorrected formation energy in eV/atom: 2.465
SG: P4/mmm, No. 123
Electronic total energy in Ry per atom: -0.695

# 7
Below is a PBEsol-optimized structure of Sr4CoP, with properties calculated at the SCAN level.

a b c (Å): 6.451 6.451 6.451
angles (deg): 60.00 60.00 60.00
Each line ends with the local moment (μB).
Atoms (fractional coordinates):
P1 0.000 0.000 0.000  0.01
Sr1 0.375 0.876 0.375  -0.16
Sr2 0.375 0.375 0.375  -0.16
Co1 0.750 0.750 0.750  2.19
Sr3 0.375 0.375 0.876  -0.16
Sr4 0.876 0.375 0.375  -0.16

Crystal system: cubic
SG: F-43m, No. 216
Electronic total energy in Ry per atom: -1.364
Energy relative to the elements in kJ/mol of atoms: 88

# 8
Below is a PBEsol-optimized structure of ZrScTl2, with properties calculated at the SCAN level.

a b c (Å): 3.213 5.321 5.321
angles (deg): 106.13 90.00 90.00
Each line ends with the local moment (μB).
Atoms (fractional coordinates):
Sc1 0.500 0.500 0.500  0.35
Zr1 0.500 0.000 0.000  0.18
Tl1 0.000 0.500 0.000  0.00
Tl2 0.000 0.000 0.500  0.00

Crystal system: orthorhombic
SG: Cmmm, No. 65
Electronic total energy in Ry per atom: -3.511
Energy relative to the elements in kJ/mol of atoms: -34

Question: Among the records above, which one has the highest electronic total energy?
Answer: KSc2ZnN